{"formula": "CoReHgO6", "functional": "PBE+U", "state": "relaxed", "sg": "P312", "final_energy_ev_per_atom": -6.304, "magnetic_moment_mub_per_fu": 0.000, "cell": [[5.0773, 0.0000, 0.0000], [-2.5386, 4.3971, 0.0000], [0.0000, 0.0000, 4.9935]], "species": ["Co", "Re", "Hg", "O", "O", "O", "O", "O", "O"], "fractional_positions": [[0.0000, 0.0000, 0.0000], [0.3333, 0.6667, 0.0000], [0.6667, 0.3333, 0.5000], [0.0441, 0.3357, 0.2104], [0.0441, 0.7083, 0.7896], [0.2917, 0.3357, 0.7896], [0.2917, 0.9559, 0.2104], [0.6643, 0.7083, 0.2104], [0.6643, 0.9559, 0.7896]]}